Entry 1:
DFT (PBE-GGA) results for an optimized crystal structure of CdAsH3.

a b c (Å): 3.8820 3.8820 3.8820
angles (deg): 90.00 90.00 90.00
Fractional positions:
H  0.0000  0.5000  0.0000
As  0.5000  0.5000  0.5000
Cd  0.0000  0.0000  0.0000
H  0.0000  0.0000  0.5000
H  0.5000  0.0000  0.0000

Theoretical density in kg/m³: 5403
Energy above the most stable polymorph in this dataset in meV per atom: 386
Size of the total moment in Bohr magnetons per cell: 0.00
Symmetry: Pm-3m, No. 221



Entry 2:
DFT (PBE-GGA) results for an optimized crystal structure of Tc2PRu.

a b c (Å): 5.0669 5.0669 5.0669
angles (deg): 147.04 129.42 61.71
Fractional positions:
P  0.5018  0.5018  0.0000
Tc  0.2823  0.7823  0.5000
Tc  0.0001  0.0001  0.0000
Ru  0.7158  0.2158  0.5000

Theoretical density in kg/m³: 10061
Size of the total moment in Bohr magnetons per cell: 0.00
Symmetry: Imm2, No. 44
Formation energy in eV/atom: -0.265



Entry 3:
DFT (PBE-GGA) results for an optimized crystal structure of CoNi2Sb.

a b c (Å): 3.2022 3.2022 5.2591
angles (deg): 90.00 90.00 90.00
Site moments in Bohr magnetons follow the coordinates.
Fractional positions:
Sb  0.0000  0.0000  0.4993  0.00
Ni  0.0000  0.0000  0.9993  0.38
Ni  0.5000  0.5000  0.2315  0.21
Co  0.5000  0.5000  0.7698  1.17

Theoretical density in kg/m³: 9179
Energy relative to the elements, uncorrected in eV/atom: 0.138
Size of the total moment in Bohr magnetons per cell: 1.66
Symmetry: P4mm, No. 99



Entry 4:
DFT (PBE-GGA) results for an optimized crystal structure of PrNd3Dy2Tm6.

a b c (Å): 6.1841 6.1841 11.7152
angles (deg): 95.03 95.03 119.99
Fractional positions:
Nd  0.8333  0.1667  0.5000
Tm  0.0830  0.4170  0.2483
Tm  0.7489  0.7489  0.2482
Tm  0.5830  0.9170  0.7517
Tm  0.4170  0.0830  0.2483
Dy  0.6667  0.3333  0.0000
Nd  0.5000  0.5000  0.5000
Pr  0.0000  0.0000  0.0000
Tm  0.9170  0.5830  0.7517
Nd  0.1667  0.8333  0.5000
Tm  0.2511  0.2511  0.7518
Dy  0.3333  0.6667  0.0000

Theoretical density in kg/m³: 8312
Size of the total moment in Bohr magnetons per cell: 0.00
Symmetry: C2/m, No. 12
Formation energy in eV/atom: 0.020



Entry 5:
DFT (PBE-GGA) results for an optimized crystal structure of ZrMn2InRe.

a b c (Å): 4.5594 4.8963 4.5594
angles (deg): 90.00 90.00 90.00
Site moments in Bohr magnetons follow the coordinates.
Fractional positions:
Mn  0.5000  0.0000  0.0000  -0.14
Re  0.0000  0.5000  0.0000  0.38
Mn  0.0000  0.0000  0.5000  -0.39
In  0.0000  0.0000  0.0000  0.00
Zr  0.5000  0.5000  0.5000  0.06

Theoretical density in kg/m³: 8192
Size of the total moment in Bohr magnetons per cell: 0.02
Symmetry: P4/mmm, No. 123
Formation energy in eV/atom: 1.983



Entry 6:
DFT (PBE-GGA) results for an optimized crystal structure of Y2TcI.

a b c (Å): 3.5655 3.5655 8.1599
angles (deg): 90.00 90.00 90.00
Fractional positions:
Y  0.0000  0.0000  0.8032
I  0.5000  0.5000  0.5000
Tc  0.5000  0.5000  0.0000
Y  0.0000  0.0000  0.1968

Theoretical density in kg/m³: 6447
Energy relative to the elements, uncorrected in eV/atom: -0.376
Energy above the most stable polymorph in this dataset in meV per atom: 0
Size of the total moment in Bohr magnetons per cell: 0.00
Symmetry: P4/mmm, No. 123



Entry 7:
DFT (PBE-GGA) results for an optimized crystal structure of Ca4Ac3Rh4.

a b c (Å): 4.0294 8.9426 9.7194
angles (deg): 117.39 101.96 90.00
Fractional positions:
Rh  0.5000  0.7651  0.0000
Ca  0.3264  0.5102  0.6528
Ac  0.0000  0.5000  0.0000
Ca  0.6736  0.4898  0.3472
Ca  0.3264  0.1426  0.6528
Ac  0.1024  0.1024  0.2047
Ca  0.6736  0.8574  0.3472
Ac  0.8976  0.8976  0.7953
Rh  0.7370  0.2370  0.4739
Rh  0.2630  0.7630  0.5261
Rh  0.5000  0.2349  0.0000

Theoretical density in kg/m³: 6881
Size of the total moment in Bohr magnetons per cell: 0.00
Symmetry: Immm, No. 71
Formation energy in eV/atom: -0.443



Entry 8:
DFT (PBE-GGA) results for an optimized crystal structure of TmMgGe2.

a b c (Å): 3.9980 4.4878 4.4878
angles (deg): 90.00 90.00 90.00
Fractional positions:
Ge  0.0000  0.0000  0.5000
Tm  0.5000  0.5000  0.5000
Ge  0.0000  0.5000  0.0000
Mg  0.5000  0.0000  0.0000

Theoretical density in kg/m³: 6981
Energy above the most stable polymorph in this dataset in meV per atom: 0
Size of the total moment in Bohr magnetons per cell: 0.00
Symmetry: P4/mmm, No. 123
Formation energy in eV/atom: -0.451



Entry 9:
DFT (PBE-GGA) results for an optimized crystal structure of CaTa2GaRe.

a b c (Å): 4.9248 4.9506 4.9248
angles (deg): 90.00 90.00 90.00
Fractional positions:
Ca  0.5000  0.5000  0.5000
Ta  0.5000  0.0000  0.0000
Ga  0.0000  0.5000  0.0000
Re  0.0000  0.0000  0.0000
Ta  0.0000  0.0000  0.5000

Theoretical density in kg/m³: 9098
Size of the total moment in Bohr magnetons per cell: 0.00
Symmetry: P4/mmm, No. 123
Formation energy in eV/atom: 0.762



Entry 10:
DFT (PBE-GGA) results for an optimized crystal structure of RbCd2NiAs.

a b c (Å): 5.1706 5.1706 4.7148
angles (deg): 90.00 90.00 90.00
Fractional positions:
Rb  0.5000  0.5000  0.5000
Cd  0.0000  0.5000  0.0000
Ni  0.0000  0.0000  0.0000
Cd  0.5000  0.0000  0.0000
As  0.0000  0.0000  0.5000

Theoretical density in kg/m³: 5848
Size of the total moment in Bohr magnetons per cell: 0.00
Symmetry: P4/mmm, No. 123
Formation energy in eV/atom: -0.029



Entry 11:
DFT (PBE-GGA) results for an optimized crystal structure of TaPd3N.

a b c (Å): 4.8715 4.8715 4.8715
angles (deg): 90.00 90.00 90.00
Site moments in Bohr magnetons follow the coordinates.
Fractional positions:
Pd  0.0000  0.0000  0.5000  -0.01
Pd  0.0000  0.5000  0.0000  -0.04
Ta  0.0000  0.0000  0.0000  -0.09
Pd  0.5000  0.0000  0.0000  -0.04
N  0.5000  0.5000  0.5000  1.57

Theoretical density in kg/m³: 7386
Energy relative to the elements, uncorrected in eV/atom: 1.932
Energy above the most stable polymorph in this dataset in meV per atom: 1446
Size of the total moment in Bohr magnetons per cell: 1.93
Symmetry: Pm-3m, No. 221



Entry 12:
DFT (PBE-GGA) results for an optimized crystal structure of Sc2Ta2Ge2C.

a b c (Å): 4.2135 4.2135 7.6997
angles (deg): 105.88 105.88 90.00
Fractional positions:
Sc  0.1635  0.1635  0.3271
Ge  0.6370  0.6370  0.2740
Sc  0.8365  0.8365  0.6729
C  0.0000  0.0000  0.0000
Ge  0.3630  0.3630  0.7260
Ta  0.5000  0.0000  0.0000
Ta  0.0000  0.5000  0.0000

Theoretical density in kg/m³: 8024
Size of the total moment in Bohr magnetons per cell: 0.00
Symmetry: I4/mmm, No. 139
Formation energy in eV/atom: -0.565



Which of these has the highest size of the total moment? TaPd3N



Copy entry 3 word for word.
DFT (PBE-GGA) results for an optimized crystal structure of CoNi2Sb.

a b c (Å): 3.2022 3.2022 5.2591
angles (deg): 90.00 90.00 90.00
Site moments in Bohr magnetons follow the coordinates.
Fractional positions:
Sb  0.0000  0.0000  0.4993  0.00
Ni  0.0000  0.0000  0.9993  0.38
Ni  0.5000  0.5000  0.2315  0.21
Co  0.5000  0.5000  0.7698  1.17

Theoretical density in kg/m³: 9179
Energy relative to the elements, uncorrected in eV/atom: 0.138
Size of the total moment in Bohr magnetons per cell: 1.66
Symmetry: P4mm, No. 99